First-principles (PBE+U) data for a geometry-optimized KV3Pb2O8 structure, as listed in Alexandria.

Values from the calculation:
The symmetry is Cm (8). For the total energy, the calculation gives -6.716 eV/atom. As for the magnetic moment: 0.29 μB/atom.

Cell lengths 6.184, 6.184, 7.317 Å; angles 115.54, 115.54, 59.94 degrees
Sites, in units of the cell vectors:
K: 0.000 0.000 0.000
V: 0.135 0.634 0.411
V: 0.634 0.135 0.411
V: 0.639 0.639 0.419
Pb: 0.248 0.248 0.751
Pb: 0.658 0.658 0.974
O: 0.364 0.828 0.575
O: 0.371 0.371 0.579
O: 0.410 0.410 0.258
O: 0.456 0.904 0.246
O: 0.828 0.364 0.575
O: 0.870 0.870 0.581
O: 0.893 0.893 0.240
O: 0.904 0.456 0.246